[1]
# RbBrCl3

RbBrCl3 after structural relaxation (PBE, Alexandria).

a b c (Å): 17.0319 6.8395 6.8395
angles (deg): 135.32 131.82 48.18
Atoms (fractional coordinates):
Rb 0.1481 0.9858 0.0142
Rb 0.8519 0.0142 0.9858
Cl 0.6813 0.6024 0.3976
Cl 0.3187 0.3976 0.6024
Cl 0.1242 0.2639 0.7361
Cl 0.1312 0.7453 0.2547
Cl 0.8758 0.7361 0.2639
Cl 0.8688 0.2547 0.7453
Br 0.4651 0.1332 0.8668
Br 0.5349 0.8668 0.1332

Summary:
Its density of states at the Fermi level is 0.91 states/eV/atom. For the uncorrected formation energy, the calculation gives -0.711 eV per atom. Its offset from the most stable computed form is 0.125 eV per atom. Its space group is C2/m, No. 12.


[2]
# Rb3Br2Cl8

Rb3Br2Cl8 after structural relaxation (PBE, Alexandria).

a b c (Å): 7.0636 7.0636 11.1298
angles (deg): 71.50 71.50 60.00
Each line ends with the local moment (μB).
Atoms (fractional coordinates):
Cl 0.2530 0.2530 0.6879  0.16
Cl 0.7470 0.1939 0.3121  0.16
Cl 0.7470 0.7470 0.3121  0.16
Cl 0.3098 0.3098 0.0706  0.00
Cl 0.2530 0.8061 0.6879  0.16
Cl 0.6902 0.6902 0.9294  0.00
Cl 0.1939 0.7470 0.3121  0.16
Cl 0.8061 0.2530 0.6879  0.16
Rb 0.7987 0.7987 0.6038  0.00
Rb 0.0000 0.0000 0.0000  0.00
Rb 0.2013 0.2013 0.3962  0.00
Br 0.6147 0.6147 0.1559  0.16
Br 0.3853 0.3853 0.8441  0.16

Summary:
Its density of states at the Fermi level is 0.76 states/eV/atom. For the uncorrected formation energy, the calculation gives -0.646 eV per atom. Its space group is R-3m, No. 166.


[3]
# RbBrCl3

RbBrCl3 after structural relaxation (PBE, Alexandria).

a b c (Å): 11.3288 9.2212 9.2212
angles (deg): 72.09 110.77 69.23
Atoms (fractional coordinates):
Cl 0.8836 0.1296 0.0897
Cl 0.8555 0.7600 0.7214
Cl 0.6164 0.5897 0.6296
Cl 0.9460 0.6937 0.2716
Cl 0.5540 0.7716 0.1937
Cl 0.3555 0.7786 0.7400
Cl 0.3836 0.4103 0.3704
Cl 0.1164 0.8704 0.9103
Cl 0.6445 0.2214 0.2600
Cl 0.4460 0.2284 0.8063
Cl 0.0540 0.3063 0.7284
Cl 0.1445 0.2400 0.2786
Rb 0.2500 0.8181 0.3181
Rb 0.7500 0.5384 0.0384
Rb 0.7500 0.1819 0.6819
Rb 0.2500 0.4616 0.9616
Br 0.2951 0.2313 0.5476
Br 0.7951 0.9524 0.2687
Br 0.7049 0.7687 0.4524
Br 0.2049 0.0476 0.7313

Summary:
Its density of states at the Fermi level is 0.00 states/eV/atom. For the uncorrected formation energy, the calculation gives -0.762 eV per atom. Its offset from the most stable computed form is 0.074 eV per atom. Its space group is C2/c, No. 15.


[4]
# RbBrCl3

RbBrCl3 after structural relaxation (PBE, Alexandria).

a b c (Å): 10.2243 10.2243 10.2243
angles (deg): 60.00 60.00 60.00
Atoms (fractional coordinates):
Cl 0.0564 0.4436 0.0564
Cl 0.0564 0.4436 0.4436
Cl 0.0564 0.0564 0.4436
Cl 0.4436 0.0564 0.4436
Cl 0.1936 0.1936 0.8064
Cl 0.4436 0.0564 0.0564
Cl 0.4436 0.4436 0.0564
Cl 0.8064 0.1936 0.8064
Cl 0.1936 0.8064 0.1936
Cl 0.1936 0.8064 0.8064
Cl 0.8064 0.1936 0.1936
Cl 0.8064 0.8064 0.1936
Br 0.1250 0.6250 0.1250
Br 0.1250 0.1250 0.6250
Br 0.6250 0.1250 0.1250
Br 0.1250 0.1250 0.1250
Rb 0.6250 0.6250 0.1250
Rb 0.6250 0.1250 0.6250
Rb 0.1250 0.6250 0.6250
Rb 0.6250 0.6250 0.6250

Summary:
Its density of states at the Fermi level is 0.00 states/eV/atom. For the uncorrected formation energy, the calculation gives -0.425 eV per atom. Its offset from the most stable computed form is 0.410 eV per atom. Its space group is Fd-3m, No. 227.